(1)
The following is a DFT calculation (PBE) of V2MoHS after structural relaxation. Values from VASP.

```
&SYSTEM
  ibrav = 0, nat = 5, ntyp = 4
/
ATOMIC_SPECIES
V 50.94 V.upf
Mo 95.94 Mo.upf
H 1.01 H.upf
S 32.06 S.upf
ATOMIC_POSITIONS crystal
V 0.0000 0.5000 0.0000
V 0.5000 0.0000 0.0000
Mo 0.0000 0.0000 0.5000
H 0.0000 0.0000 0.0000
S 0.5000 0.5000 0.5000
CELL_PARAMETERS angstrom
3.5828 0.0000 0.0000
0.0000 3.5828 0.0000
0.0000 0.0000 4.4141
```

Properties
total DFT energy (no corrections) = -7.18 eV per atom
density = 6767 kg/m³
D(E_F) = 5.143 states/eV per cell

(2)
The following is a DFT calculation (PBE) of ZrMoHS2 after structural relaxation. Values from VASP.

```
&SYSTEM
  ibrav = 0, nat = 5, ntyp = 4
/
ATOMIC_SPECIES
Zr 91.22 Zr.upf
Mo 95.94 Mo.upf
H 1.01 H.upf
S 32.06 S.upf
ATOMIC_POSITIONS crystal
Zr 0.0000 0.0000 0.0000
Mo 0.5000 0.5000 0.5000
H 0.5000 0.5000 0.0000
S 0.0000 0.5000 0.5000
S 0.5000 0.0000 0.5000
CELL_PARAMETERS angstrom
4.6793 0.0000 0.0000
0.0000 4.6793 0.0000
0.0000 0.0000 3.4216
```

Properties
total DFT energy (no corrections) = -6.57 eV per atom
density = 5592 kg/m³
D(E_F) = 2.774 states/eV per cell